Below is a relaxed Dy2HfSn crystal, with properties calculated at the PBE level.

Cell lengths 4.6575, 4.6575, 4.6788 Å; angles 90.00, 90.00, 90.00 degrees
Last column: nearest neighbours and their distance in Å.
Space group P4/mmm (No. 123)
Inequivalent atoms, fractional coordinates:
Dy 0.0000 0.5000 0.0000  4 Dy 3.29, 4 Hf 3.30, 4 Sn 3.30
Hf 0.0000 0.0000 0.5000  4 Sn 3.29, 8 Dy 3.30
Sn 0.5000 0.5000 0.5000  4 Hf 3.29, 8 Dy 3.30

Summary:
Magnetic moment in μB per cell: 0.00
Polymorph energy (0 for the lowest one) in meV/atom: 0
Total DFT energy (no corrections) in eV/atom: -6.056

***

Below is a relaxed Dy2HfSn crystal, with properties calculated at the PBE level.

Cell lengths 3.3839, 3.3839, 34.6228 Å; angles 90.00, 90.00, 120.00 degrees
Last column: nearest neighbours and their distance in Å.
Space group R-3m (No. 166, hexagonal axes)
Inequivalent atoms, fractional coordinates:
Dy 0.0000 0.0000 0.0911  1 Sn 3.16, 3 Hf 3.26, 6 Dy 3.38
Hf 0.0000 0.0000 0.5000  6 Dy 3.26, 6 Hf 3.38
Sn 0.0000 0.0000 0.0000  2 Dy 3.16, 6 Sn 3.38

Summary:
Magnetic moment in μB per cell: 0.00
Polymorph energy (0 for the lowest one) in meV/atom: 374
Total DFT energy (no corrections) in eV/atom: -5.681

***

| no. | calculated formation energy (meV/atom) |
| --- | --- |
| 1 | -265 |
| 2 | 109 |